Record 1
A plane-wave DFT calculation with GGA-PBE was carried out for a relaxed SmNi3 crystal.

- Calculated volume: 59.2 Å³/cell
- Theoretical density: 9.2 g/cm3
- Calculated formation energy: -0.149 eV/atom
- Total energy: -22.01 eV for the cell shown
- Symmetry: Pm-3m, No. 221

a b c (Å): 3.897 3.897 3.897
angles (deg): 90.00 90.00 90.00
Sites, in units of the cell vectors:
Ni  0.000  0.500  0.500
Ni  0.500  0.000  0.500
Ni  0.500  0.500  0.000
Sm  0.000  0.000  0.000

Record 2
A plane-wave DFT calculation with GGA-PBE was carried out for a relaxed SmNi2 crystal.

- Calculated volume: 94.6 Å³/cell
- Theoretical density: 9.4 g/cm3
- Calculated formation energy: -0.368 eV/atom
- Total energy: -33.90 eV for the cell shown
- Symmetry: Fd-3m, No. 227

a b c (Å): 5.114 5.114 5.114
angles (deg): 60.00 60.00 60.00
Sites, in units of the cell vectors:
Ni  0.625  0.625  0.125
Ni  0.125  0.625  0.625
Ni  0.625  0.125  0.625
Ni  0.625  0.625  0.625
Sm  0.000  0.000  0.000
Sm  0.250  0.250  0.250

Record 3
A plane-wave DFT calculation with GGA-PBE was carried out for a relaxed SmNi3 crystal.

- Calculated volume: 60.1 Å³/cell
- Theoretical density: 9.0 g/cm3
- Calculated formation energy: -0.085 eV/atom
- Total energy: -21.76 eV for the cell shown
- Symmetry: I4/mmm, No. 139

a b c (Å): 4.748 4.748 4.748
angles (deg): 130.69 130.69 72.31
Sites, in units of the cell vectors:
Ni  0.250  0.750  0.500
Ni  0.500  0.500  0.000
Ni  0.750  0.250  0.500
Sm  0.000  0.000  0.000

Q: Look up the calculated volume of the first one.
A: 59.2 Å³/cell

Q: What is the calculated formation energy in the first record?
A: -0.149 eV/atom

Q: Which value of calculated formation energy does entry 3 give?
A: -0.085 eV/atom